Material: Sm2ErPuSe4
Method: DFT, PBE
State: relaxed

The size of the total moment is 5.9 μB/f.u. For the total energy, the calculation gives -56.14 eV per cell. The uncorrected formation energy comes out at -1.734 eV/atom.

The space group is P2/m (No. 10) and the conventional cell measures 7.155, 4.108 and 7.175 Å, with angles of 90.00, 109.12 and 90.00 degrees. The inequivalent atoms are Sm at (0.000, 0.000, 0.000), Sm at (0.500, 0.500, 0.000), Er at (0.000, 0.500, 0.500), Pu at (0.500, 0.000, 0.500), Se at (0.243, 0.000, 0.741) and Se at (0.248, 0.500, 0.256).